No. 1
# PBE Dy2Sn2BRh4, relaxed
data_Dy2Sn2BRh4
_cell_length_a 6.106
_cell_length_b 6.106
_cell_length_c 6.106
_cell_angle_alpha 119.57
_cell_angle_beta 119.57
_cell_angle_gamma 90.75
_space_group_name_H-M_alt 'P 1'
_space_group_IT_number 1
loop_
_space_group_symop_operation_xyz
'x,y,z'
loop_
_atom_site_label
_atom_site_fract_x
_atom_site_fract_y
_atom_site_fract_z
Dy1 0.207 0.207 0.000
Dy2 0.793 0.793 0.000
Sn1 0.250 0.750 0.500
Sn2 0.750 0.250 0.500
B1 0.500 0.500 0.000
Rh1 0.261 0.261 0.523
Rh2 0.261 0.739 0.000
Rh3 0.739 0.261 0.000
Rh4 0.739 0.739 0.477
# * symmetry: I4/mmm, No. 139
# * energy of formation: -0.51 eV per atom
# * crystal system: tetragonal

***

No. 2
# PBE CaHgAs3, relaxed
data_CaHgAs3
_cell_length_a 5.226
_cell_length_b 5.226
_cell_length_c 5.226
_cell_angle_alpha 90.00
_cell_angle_beta 90.00
_cell_angle_gamma 90.00
_space_group_name_H-M_alt 'P 1'
_space_group_IT_number 1
loop_
_space_group_symop_operation_xyz
'x,y,z'
loop_
_atom_site_label
_atom_site_fract_x
_atom_site_fract_y
_atom_site_fract_z
Ca1 0.000 0.000 0.000
Hg1 0.500 0.500 0.500
As1 0.000 0.500 0.500
As2 0.500 0.000 0.500
As3 0.500 0.500 0.000
# * symmetry: Pm-3m, No. 221
# * energy of formation: 0.38 eV per atom
# * crystal system: cubic
# * energy above the lowest structure with this stoichiometry: 0.00 eV/f.u.

***

No. 3
# PBE PaCdPb2, relaxed
data_PaCdPb2
_cell_length_a 4.893
_cell_length_b 4.893
_cell_length_c 4.434
_cell_angle_alpha 90.00
_cell_angle_beta 90.00
_cell_angle_gamma 90.00
_space_group_name_H-M_alt 'P 1'
_space_group_IT_number 1
loop_
_space_group_symop_operation_xyz
'x,y,z'
loop_
_atom_site_label
_atom_site_fract_x
_atom_site_fract_y
_atom_site_fract_z
Pa1 0.000 0.000 0.000
Cd1 0.500 0.500 0.000
Pb1 0.000 0.500 0.500
Pb2 0.500 0.000 0.500
# * symmetry: P4/mmm, No. 123
# * energy of formation: -0.02 eV per atom
# * crystal system: tetragonal
# * energy above the lowest structure with this stoichiometry: 0.00 eV/f.u.

***

No. 4
# PBE KTl2CrI6, relaxed
data_KTl2CrI6
_cell_length_a 8.577
_cell_length_b 8.577
_cell_length_c 8.577
_cell_angle_alpha 59.12
_cell_angle_beta 59.12
_cell_angle_gamma 59.12
_space_group_name_H-M_alt 'P 1'
_space_group_IT_number 1
loop_
_space_group_symop_operation_xyz
'x,y,z'
loop_
_atom_site_label
_atom_site_fract_x
_atom_site_fract_y
_atom_site_fract_z
K1 0.000 0.000 0.000
Tl1 0.285 0.285 0.285
Tl2 0.799 0.799 0.799
Cr1 0.492 0.492 0.492
I1 0.166 0.691 0.387
I2 0.279 0.609 0.812
I3 0.387 0.166 0.691
I4 0.609 0.812 0.279
I5 0.691 0.387 0.166
I6 0.812 0.279 0.609
# * symmetry: R3, No. 146
# * crystal system: trigonal
# * ΔE_f (raw): -0.67 eV per atom

***

No. 5
# PBE Ba2In2Au3, relaxed
data_Ba2In2Au3
_cell_length_a 8.753
_cell_length_b 8.753
_cell_length_c 13.441
_cell_angle_alpha 123.11
_cell_angle_beta 123.11
_cell_angle_gamma 31.55
_space_group_name_H-M_alt 'P 1'
_space_group_IT_number 1
loop_
_space_group_symop_operation_xyz
'x,y,z'
loop_
_atom_site_label
_atom_site_fract_x
_atom_site_fract_y
_atom_site_fract_z
Ba1 0.111 0.111 0.455
Ba2 0.227 0.227 0.839
Ba3 0.773 0.773 0.161
Ba4 0.889 0.889 0.545
In1 0.107 0.107 0.176
In2 0.450 0.450 0.169
In3 0.550 0.550 0.831
In4 0.893 0.893 0.824
Au1 0.101 0.101 0.964
Au2 0.342 0.342 0.691
Au3 0.436 0.436 0.372
Au4 0.564 0.564 0.628
Au5 0.658 0.658 0.309
Au6 0.899 0.899 0.036
# * symmetry: C2/m, No. 12
# * energy of formation: -0.55 eV per atom
# * crystal system: monoclinic

***

No. 6
# PBE Ce3Pm4Ge4, relaxed
data_Ce3Pm4Ge4
_cell_length_a 11.508
_cell_length_b 6.164
_cell_length_c 6.164
_cell_angle_alpha 43.09
_cell_angle_beta 90.00
_cell_angle_gamma 90.00
_space_group_name_H-M_alt 'P 1'
_space_group_IT_number 1
loop_
_space_group_symop_operation_xyz
'x,y,z'
loop_
_atom_site_label
_atom_site_fract_x
_atom_site_fract_y
_atom_site_fract_z
Ce1 0.000 0.000 0.000
Ce2 0.353 0.063 0.063
Ce3 0.647 0.063 0.063
Pm1 0.000 0.309 0.309
Pm2 0.247 0.763 0.763
Pm3 0.500 0.360 0.360
Pm4 0.753 0.763 0.763
Ge1 0.000 0.658 0.658
Ge2 0.219 0.452 0.452
Ge3 0.500 0.672 0.672
Ge4 0.781 0.452 0.452
# * symmetry: Amm2, No. 38
# * energy of formation: -0.52 eV per atom
# * crystal system: orthorhombic

***

No. 7
# PBE LaTi3Be, relaxed
data_LaTi3Be
_cell_length_a 4.735
_cell_length_b 4.735
_cell_length_c 4.735
_cell_angle_alpha 90.00
_cell_angle_beta 90.00
_cell_angle_gamma 90.00
_space_group_name_H-M_alt 'P 1'
_space_group_IT_number 1
loop_
_space_group_symop_operation_xyz
'x,y,z'
loop_
_atom_site_label
_atom_site_fract_x
_atom_site_fract_y
_atom_site_fract_z
La1 0.000 0.000 0.000
Ti1 0.000 0.000 0.500
Ti2 0.000 0.500 0.000
Ti3 0.500 0.000 0.000
Be1 0.500 0.500 0.500
# * symmetry: Pm-3m, No. 221
# * energy of formation: 1.55 eV per atom
# * crystal system: cubic
# * energy above the lowest structure with this stoichiometry: 5.68 eV/f.u.

***

No. 8
# PBE LaTa2Cl, relaxed
data_LaTa2Cl
_cell_length_a 3.351
_cell_length_b 8.111
_cell_length_c 8.111
_cell_angle_alpha 25.05
_cell_angle_beta 90.00
_cell_angle_gamma 90.00
_space_group_name_H-M_alt 'P 1'
_space_group_IT_number 1
loop_
_space_group_symop_operation_xyz
'x,y,z'
loop_
_atom_site_label
_atom_site_fract_x
_atom_site_fract_y
_atom_site_fract_z
La1 0.000 0.000 0.000
Ta1 0.000 0.779 0.779
Ta2 0.500 0.363 0.363
Cl1 0.500 0.639 0.639
# * symmetry: Amm2, No. 38
# * crystal system: orthorhombic
# * ΔE_f (raw): -0.20 eV per atom
# * energy above the lowest structure with this stoichiometry: 0.00 eV/f.u.

***

No. 9
# PBE HfZr2MnS6, relaxed
data_HfZr2MnS6
_cell_length_a 6.988
_cell_length_b 6.988
_cell_length_c 6.988
_cell_angle_alpha 54.01
_cell_angle_beta 54.01
_cell_angle_gamma 54.01
_space_group_name_H-M_alt 'P 1'
_space_group_IT_number 1
loop_
_space_group_symop_operation_xyz
'x,y,z'
loop_
_atom_site_label
_atom_site_fract_x
_atom_site_fract_y
_atom_site_fract_z
Hf1 0.000 0.000 0.000
Zr1 0.325 0.325 0.325
Zr2 0.823 0.823 0.823
Mn1 0.501 0.501 0.501
S1 0.098 0.741 0.404
S2 0.238 0.591 0.909
S3 0.404 0.098 0.741
S4 0.591 0.909 0.238
S5 0.741 0.404 0.098
S6 0.909 0.238 0.591
# * symmetry: R3, No. 146
# * crystal system: trigonal
# * ΔE_f (raw): -1.30 eV per atom

***

No. 10
# PBE LiPmEr2In4, relaxed
data_LiPmEr2In4
_cell_length_a 9.239
_cell_length_b 9.239
_cell_length_c 9.239
_cell_angle_alpha 32.77
_cell_angle_beta 32.77
_cell_angle_gamma 32.77
_space_group_name_H-M_alt 'P 1'
_space_group_IT_number 1
loop_
_space_group_symop_operation_xyz
'x,y,z'
loop_
_atom_site_label
_atom_site_fract_x
_atom_site_fract_y
_atom_site_fract_z
Li1 0.000 0.000 0.000
Pm1 0.500 0.500 0.500
Er1 0.254 0.254 0.254
Er2 0.746 0.746 0.746
In1 0.121 0.121 0.121
In2 0.372 0.372 0.372
In3 0.628 0.628 0.628
In4 0.879 0.879 0.879
# * symmetry: R-3m, No. 166
# * energy of formation: -0.41 eV per atom
# * crystal system: trigonal

***

No. 11
# PBE Y4Ag3, relaxed
data_Y4Ag3
_cell_length_a 13.664
_cell_length_b 13.664
_cell_length_c 13.664
_cell_angle_alpha 164.55
_cell_angle_beta 164.55
_cell_angle_gamma 21.92
_space_group_name_H-M_alt 'P 1'
_space_group_IT_number 1
loop_
_space_group_symop_operation_xyz
'x,y,z'
loop_
_atom_site_label
_atom_site_fract_x
_atom_site_fract_y
_atom_site_fract_z
Y1 0.068 0.068 0.000
Y2 0.340 0.340 0.000
Y3 0.660 0.660 0.000
Y4 0.932 0.932 0.000
Ag1 0.222 0.222 0.000
Ag2 0.500 0.500 0.000
Ag3 0.778 0.778 0.000
# * symmetry: I4/mmm, No. 139
# * energy of formation: -0.20 eV per atom
# * crystal system: tetragonal
# * energy above the lowest structure with this stoichiometry: 0.00 eV/f.u.

***

No. 12
# PBE CdAg2P2, relaxed
data_CdAg2P2
_cell_length_a 6.022
_cell_length_b 6.022
_cell_length_c 6.022
_cell_angle_alpha 137.97
_cell_angle_beta 137.97
_cell_angle_gamma 60.94
_space_group_name_H-M_alt 'P 1'
_space_group_IT_number 1
loop_
_space_group_symop_operation_xyz
'x,y,z'
loop_
_atom_site_label
_atom_site_fract_x
_atom_site_fract_y
_atom_site_fract_z
Cd1 0.000 0.000 0.000
Ag1 0.250 0.750 0.500
Ag2 0.750 0.250 0.500
P1 0.394 0.394 0.000
P2 0.606 0.606 0.000
# * symmetry: I4/mmm, No. 139
# * energy of formation: 0.23 eV per atom
# * crystal system: tetragonal
# * energy above the lowest structure with this stoichiometry: 0.41 eV/f.u.

***

No. 13
# PBE Tb7ErSc2, relaxed
data_Tb7ErSc2
_cell_length_a 8.756
_cell_length_b 8.756
_cell_length_c 5.530
_cell_angle_alpha 90.00
_cell_angle_beta 90.00
_cell_angle_gamma 119.63
_space_group_name_H-M_alt 'P 1'
_space_group_IT_number 1
loop_
_space_group_symop_operation_xyz
'x,y,z'
loop_
_atom_site_label
_atom_site_fract_x
_atom_site_fract_y
_atom_site_fract_z
Tb1 0.000 0.000 0.000
Tb2 0.199 0.438 0.000
Tb3 0.259 0.741 0.500
Tb4 0.438 0.199 0.000
Tb5 0.562 0.801 0.000
Tb6 0.741 0.259 0.500
Tb7 0.801 0.562 0.000
Er1 0.500 0.500 0.500
Sc1 0.206 0.794 0.000
Sc2 0.794 0.206 0.000
# * symmetry: Cmmm, No. 65
# * energy of formation: 0.65 eV per atom
# * crystal system: orthorhombic